KInI2Br: optimized geometry, PBE.

**Formation energy from raw total energies**: -0.91 eV per atom
**Space group**: P4/mmm (123)

```
data_KInI2Br
_cell_length_a 6.125
_cell_length_b 6.125
_cell_length_c 5.692
_cell_angle_alpha 90.00
_cell_angle_beta 90.00
_cell_angle_gamma 90.00
_symmetry_space_group_name_H-M 'P 1'
_symmetry_Int_Tables_number 1
_symmetry_space_group_name_Hall 'P 1'
loop_
_atom_site_label
_atom_site_type_symbol
_atom_site_fract_x
_atom_site_fract_y
_atom_site_fract_z
K1 K 0.000 0.000 0.000
In1 In 0.500 0.500 0.500
I1 I 0.000 0.500 0.500
I2 I 0.500 0.000 0.500
Br1 Br 0.500 0.500 0.000
```